Zn2In3 after structural relaxation, computed with PBE.

The calculation puts the total magnetization at 0.00 Bohr magnetons per cell. The formation energy from the elements comes out at 119.6 meV per atom.

The space group is R-3c (No. 167, hexagonal axes) and the conventional cell measures 7.2353, 7.2353 and 16.2549 Å, with angles of 90.00, 90.00 and 120.00 degrees. Symmetry generates all atoms from Zn at (0.0000, 0.0000, 0.1727) and In at (0.0000, 0.3620, 0.2500).